1.
{"formula": "Tm7ScCd4", "functional": "GGA-PBE", "state": "optimized geometry", "lattice": [[-1.715, -1.817, 4.967], [-7.454, -4.624, -1.153], [1.457, -7.576, 0.844]], "species": ["Tm", "Tm", "Tm", "Tm", "Tm", "Tm", "Tm", "Sc", "Cd", "Cd", "Cd", "Cd"], "fractional_positions": [[0.794, 0.881, 0.530], [0.206, 0.119, 0.470], [0.073, 0.584, 0.270], [0.927, 0.416, 0.730], [0.255, 0.703, 0.788], [0.500, 0.000, 0.000], [0.745, 0.297, 0.212], [0.000, 0.000, 0.000], [0.545, 0.289, 0.620], [0.455, 0.711, 0.380], [0.679, 0.656, 0.985], [0.321, 0.344, 0.015]], "e_tot_ev_per_atom": -3.421, "ef_ev_per_atom": 0.02, "magmom_total_mub_per_atom": 0.004}

2.
{"formula": "AcPm4Tm4", "functional": "GGA-PBE", "state": "optimized geometry", "lattice": [[10.258, -2.956, 1.426], [-5.154, 7.088, -2.678], [1.330, -2.778, 11.568]], "species": ["Ac", "Ac", "Pm", "Pm", "Pm", "Pm", "Pm", "Pm", "Pm", "Pm", "Tm", "Tm", "Tm", "Tm", "Tm", "Tm", "Tm", "Tm"], "fractional_positions": [[0.495, 0.493, 0.740], [0.505, 0.507, 0.260], [0.279, 0.841, 0.603], [0.097, 0.801, 0.055], [0.624, 0.874, 0.610], [0.164, 0.496, 0.254], [0.836, 0.504, 0.746], [0.376, 0.126, 0.390], [0.903, 0.199, 0.945], [0.721, 0.159, 0.397], [0.160, 0.493, 0.749], [0.440, 0.816, 0.063], [0.052, 0.151, 0.405], [0.229, 0.190, 0.940], [0.948, 0.849, 0.595], [0.771, 0.810, 0.060], [0.840, 0.507, 0.251], [0.560, 0.184, 0.937]], "e_tot_ev_per_atom": -4.498, "ef_ev_per_atom": 0.06, "magmom_total_mub_per_atom": 0.000}

3.
{"formula": "HfMn2Ni9", "functional": "GGA-PBE", "state": "optimized geometry", "lattice": [[-0.248, -0.002, 3.628], [0.970, -3.504, 0.064], [10.381, 2.887, 0.711]], "species": ["Hf", "Mn", "Mn", "Ni", "Ni", "Ni", "Ni", "Ni", "Ni", "Ni", "Ni", "Ni"], "fractional_positions": [[0.000, 0.000, 0.000], [0.000, 0.000, 0.339], [0.000, 0.000, 0.661], [0.500, 0.500, 0.000], [0.500, 0.500, 0.337], [0.500, 0.500, 0.663], [0.500, 0.000, 0.176], [0.500, 0.000, 0.500], [0.500, 0.000, 0.824], [0.000, 0.500, 0.176], [0.000, 0.500, 0.500], [0.000, 0.500, 0.824]], "e_tot_ev_per_atom": -6.920, "ef_ev_per_atom": -0.23, "magmom_total_mub_per_atom": 0.775}

4.
{"formula": "HoCo4Pd", "functional": "GGA-PBE", "state": "optimized geometry", "lattice": [[-1.677, -1.423, 4.399], [2.595, -3.179, 2.711], [2.247, 1.526, 4.100]], "species": ["Co", "Co", "Co", "Co", "Ho", "Pd"], "fractional_positions": [[0.624, 0.624, 0.128], [0.624, 0.128, 0.624], [0.624, 0.624, 0.624], [0.128, 0.624, 0.624], [0.000, 0.000, 0.000], [0.250, 0.250, 0.250]], "e_tot_ev_per_atom": -6.538, "ef_ev_per_atom": -0.17, "magmom_total_mub_per_atom": 1.090}

5.
{"formula": "LuTlSnHg", "functional": "GGA-PBE", "state": "optimized geometry", "lattice": [[-0.829, -5.281, 0.170], [4.145, -3.368, -0.284], [1.471, -2.800, 4.313]], "species": ["Tl", "Lu", "Hg", "Sn"], "fractional_positions": [[0.500, 0.500, 0.500], [0.000, 0.000, 0.000], [0.750, 0.750, 0.750], [0.250, 0.250, 0.250]], "e_tot_ev_per_atom": -2.938, "ef_ev_per_atom": -0.14, "magmom_total_mub_per_atom": 0.000}

6.
{"formula": "KMoAs2", "functional": "GGA-PBE", "state": "optimized geometry", "lattice": [[-4.292, 3.143, -6.537], [-7.396, 0.514, -4.009], [5.432, 0.220, 6.441]], "species": ["As", "As", "K", "Mo"], "fractional_positions": [[0.084, 0.084, 0.000], [0.770, 0.270, 0.500], [0.443, 0.443, 0.000], [0.202, 0.702, 0.500]], "e_tot_ev_per_atom": -5.461, "relative_energy_mev_per_atom": 70.0, "ef_ev_per_atom": -0.15, "magmom_total_mub_per_atom": 0.000}

7.
{"formula": "La4DyTl5", "functional": "GGA-PBE", "state": "optimized geometry", "lattice": [[-2.324, 2.781, -1.319], [0.145, -1.551, -3.528], [-16.437, -11.630, 4.436]], "species": ["La", "La", "La", "La", "Dy", "Tl", "Tl", "Tl", "Tl", "Tl"], "fractional_positions": [[0.000, 0.000, 0.192], [0.000, 0.000, 0.397], [0.000, 0.000, 0.603], [0.000, 0.000, 0.808], [0.000, 0.000, 0.000], [0.500, 0.500, 0.088], [0.500, 0.500, 0.294], [0.500, 0.500, 0.500], [0.500, 0.500, 0.706], [0.500, 0.500, 0.912]], "e_tot_ev_per_atom": -4.026, "ef_ev_per_atom": -0.41, "magmom_total_mub_per_atom": 0.000}

8.
{"formula": "Ge2AsP", "functional": "GGA-PBE", "state": "optimized geometry", "lattice": [[-3.456, 4.437, -2.832], [-1.587, -4.109, -4.500], [-6.146, -1.104, -1.229]], "species": ["P", "P", "As", "As", "Ge", "Ge", "Ge", "Ge"], "fractional_positions": [[0.500, 0.500, 0.000], [0.250, 0.750, 0.500], [0.000, 0.000, 0.000], [0.750, 0.250, 0.500], [0.608, 0.125, 0.250], [0.142, 0.625, 0.250], [0.375, 0.392, 0.750], [0.875, 0.858, 0.750]], "e_tot_ev_per_atom": -4.635, "relative_energy_mev_per_atom": 69.0, "ef_ev_per_atom": 0.19, "magmom_total_mub_per_atom": 0.000}

9.
{"formula": "SmGdS3", "functional": "GGA-PBE", "state": "optimized geometry", "lattice": [[3.975, 0.000, 0.000], [0.000, 7.406, 0.000], [0.000, 0.000, 15.395]], "species": ["Sm", "Sm", "Sm", "Sm", "Gd", "Gd", "Gd", "Gd", "S", "S", "S", "S", "S", "S", "S", "S", "S", "S", "S", "S"], "fractional_positions": [[0.250, 0.143, 0.796], [0.250, 0.643, 0.704], [0.750, 0.857, 0.204], [0.750, 0.357, 0.296], [0.250, 0.767, 0.457], [0.250, 0.267, 0.043], [0.750, 0.233, 0.543], [0.750, 0.733, 0.957], [0.250, 0.148, 0.218], [0.250, 0.648, 0.282], [0.750, 0.852, 0.782], [0.750, 0.352, 0.718], [0.250, 0.010, 0.608], [0.250, 0.510, 0.892], [0.750, 0.990, 0.392], [0.750, 0.490, 0.108], [0.250, 0.375, 0.434], [0.250, 0.875, 0.066], [0.750, 0.625, 0.566], [0.750, 0.125, 0.934]], "e_tot_ev_per_atom": -8.318, "raw_formation_energy_ev_per_atom": -2.082, "magmom_total_mub_per_atom": 1.398}

10.
{"formula": "Sr2Mg", "functional": "GGA-PBE", "state": "optimized geometry", "lattice": [[-3.007, 4.010, -6.746], [5.221, -4.372, -4.926], [-5.859, -5.954, -0.927]], "species": ["Sr", "Sr", "Sr", "Sr", "Sr", "Sr", "Sr", "Sr", "Mg", "Mg", "Mg", "Mg"], "fractional_positions": [[0.154, 0.654, 0.846], [0.154, 0.846, 0.346], [0.346, 0.154, 0.846], [0.346, 0.346, 0.346], [0.654, 0.654, 0.654], [0.654, 0.846, 0.154], [0.846, 0.154, 0.654], [0.846, 0.346, 0.154], [0.000, 0.000, 0.000], [0.000, 0.500, 0.500], [0.500, 0.000, 0.500], [0.500, 0.500, 0.000]], "e_tot_ev_per_atom": -1.486, "ef_ev_per_atom": 0.17, "magmom_total_mub_per_atom": 0.000}

11.
{"formula": "LaAs2Ru4", "functional": "GGA-PBE", "state": "optimized geometry", "lattice": [[4.842, 0.000, 0.000], [0.000, 4.842, 0.000], [2.421, 2.421, 6.422]], "species": ["Ru", "Ru", "Ru", "Ru", "As", "As", "La"], "fractional_positions": [[0.784, 0.784, 0.432], [0.216, 0.216, 0.568], [0.000, 0.500, 0.000], [0.500, 0.000, 0.000], [0.605, 0.605, 0.791], [0.395, 0.395, 0.209], [0.000, 0.000, 0.000]], "e_tot_ev_per_atom": -6.075, "ef_ev_per_atom": 1.26, "magmom_total_mub_per_atom": 0.417}

12.
{"formula": "BeH", "functional": "GGA-PBE", "state": "optimized geometry", "lattice": [[-1.842, 3.819, -1.382], [-2.263, -1.401, -0.858], [-2.954, 0.877, 6.360]], "species": ["Be", "Be", "Be", "Be", "Be", "Be", "H", "H", "H", "H", "H", "H"], "fractional_positions": [[0.240, 0.000, 0.903], [0.760, 0.000, 0.903], [0.740, 0.500, 0.403], [0.260, 0.500, 0.403], [0.000, 0.500, 0.698], [0.500, 0.000, 0.198], [0.222, 0.000, 0.103], [0.778, 0.000, 0.103], [0.722, 0.500, 0.603], [0.278, 0.500, 0.603], [0.000, 0.500, 0.291], [0.500, 0.000, 0.791]], "e_tot_ev_per_atom": -3.351, "relative_energy_mev_per_atom": 77.9, "magmom_total_mub_per_atom": 0.000}

no.,V (Å³ per cell)
1,327
2,606
3,143
4,84
5,108
6,92
7,307
8,180
9,453
10,594
11,151
12,88